TbAl9Ni2 after structural relaxation. Source: Alexandria, functional GGA-PBE.

Geometry as POSCAR:
```
TbAl9Ni2
1.0
6.322 0.000 2.910
3.161 7.450 1.455
0.046 0.000 8.222
Al Ni Tb
18 4 2
Direct
0.750 0.500 0.500
0.613 0.321 0.076
0.741 0.821 0.576
0.009 0.679 0.924
0.439 0.821 0.424
0.067 0.924 0.321
0.067 0.321 0.924
0.683 0.179 0.576
0.311 0.679 0.076
0.137 0.179 0.424
0.741 0.576 0.821
0.009 0.924 0.679
0.311 0.076 0.679
0.000 0.000 0.000
0.137 0.424 0.179
0.683 0.576 0.179
0.439 0.424 0.821
0.613 0.076 0.321
0.875 0.750 0.250
0.875 0.250 0.250
0.875 0.250 0.750
0.375 0.750 0.750
0.250 0.500 0.500
0.500 0.000 0.000
```

Energy of formation from the pure elements in eV per atom: -0.35
DFT total energy in hartree per atom: -0.1655
Symmetry: I4_1/amd
Size of the total moment in Bohr magnetons per cell: 0.00

***

As2IrCSe after structural relaxation. Source: Alexandria, functional GGA-PBE.

Geometry as POSCAR:
```
As2IrCSe
1.0
-3.189 1.739 -2.065
-0.807 -3.664 -1.839
-2.699 -1.053 3.282
As Se C Ir
2 1 1 1
Direct
0.500 0.000 0.000
0.000 0.500 0.000
0.000 0.000 0.500
0.000 0.000 0.000
0.500 0.500 0.500
```

DFT total energy in hartree per atom: -0.1840
Raw formation energy in eV per atom: 1.166
Symmetry: P4/mmm
Size of the total moment in Bohr magnetons per cell: 0.00

***

CsTaTi2 after structural relaxation. Source: Alexandria, functional GGA-PBE.

Geometry as POSCAR:
```
CsTaTi2
1.0
-3.440 -1.100 3.372
-3.932 2.938 0.567
-4.467 -1.545 -1.440
Cs Ta Ti
1 1 2
Direct
0.000 0.000 0.000
0.500 0.500 0.500
0.250 0.250 0.250
0.750 0.750 0.750
```

Energy of formation from the pure elements in eV per atom: 1.40
DFT total energy in hartree per atom: -0.2104
Symmetry: Fm-3m
Size of the total moment in Bohr magnetons per cell: 0.00

***

YBePCl2 after structural relaxation. Source: Alexandria, functional GGA-PBE.

Geometry as POSCAR:
```
YBePCl2
1.0
5.116 0.000 0.000
0.000 5.116 0.000
0.000 0.000 5.707
P Cl Be Y
1 2 1 1
Direct
0.000 0.000 0.500
0.000 0.500 0.000
0.500 0.000 0.000
0.500 0.500 0.500
0.000 0.000 0.000
```

DFT total energy in hartree per atom: -0.1513
Raw formation energy in eV per atom: -0.257
Symmetry: P4/mmm
Size of the total moment in Bohr magnetons per cell: 0.00

***

YTc3Ni after structural relaxation. Source: Alexandria, functional GGA-PBE.

Geometry as POSCAR:
```
YTc3Ni
1.0
4.728 0.000 0.000
0.000 4.728 0.000
0.000 0.000 4.728
Tc Ni Y
3 1 1
Direct
0.500 0.000 0.000
0.000 0.500 0.000
0.000 0.000 0.500
0.500 0.500 0.500
0.000 0.000 0.000
```

Energy of formation from the pure elements in eV per atom: 2.66
DFT total energy in hartree per atom: -0.2209
Symmetry: Pm-3m
Size of the total moment in Bohr magnetons per cell: 0.00

***

NaNiHg2 after structural relaxation. Source: Alexandria, functional GGA-PBE.

Geometry as POSCAR:
```
NaNiHg2
1.0
0.000 3.368 3.368
3.368 0.000 3.368
3.368 3.368 0.000
Hg Ni Na
2 1 1
Direct
0.250 0.250 0.250
0.750 0.750 0.750
0.500 0.500 0.500
0.000 0.000 0.000
```

Energy of formation from the pure elements in eV per atom: 0.11
DFT total energy in hartree per atom: -0.0669
Symmetry: Fm-3m
Size of the total moment in Bohr magnetons per cell: 0.00

***

BaAgHg6 after structural relaxation. Source: Alexandria, functional GGA-PBE.

Geometry as POSCAR:
```
BaAgHg6
1.0
4.948 0.000 1.515
2.242 4.411 1.515
-0.324 -0.199 9.898
Hg Ag Ba
6 1 1
Direct
0.638 0.638 0.086
0.362 0.362 0.914
0.898 0.898 0.306
0.755 0.755 0.735
0.102 0.102 0.694
0.245 0.245 0.265
0.000 0.000 0.000
0.500 0.500 0.500
```

Energy of formation from the pure elements in eV per atom: -0.18
DFT total energy in hartree per atom: -0.0370
Symmetry: R-3m
Size of the total moment in Bohr magnetons per cell: 0.00

***

LaZrTa2 after structural relaxation. Source: Alexandria, functional GGA-PBE.

Geometry as POSCAR:
```
LaZrTa2
1.0
-4.604 3.507 -1.079
-5.153 -1.279 2.544
5.673 1.291 0.900
La Ta Zr
1 2 1
Direct
0.250 0.750 0.500
0.503 0.503 0.000
0.997 0.997 0.000
0.750 0.250 0.500
```

Energy of formation from the pure elements in eV per atom: 0.47
DFT total energy in hartree per atom: -0.3244
Symmetry: Immm
Size of the total moment in Bohr magnetons per cell: 0.00

***

Cs2In7Au12 after structural relaxation. Source: Alexandria, functional GGA-PBE.

Geometry as POSCAR:
```
Cs2In7Au12
1.0
5.169 0.000 0.000
0.000 9.433 -5.446
0.001 0.001 10.893
Au In Cs
12 7 2
Direct
0.668 0.849 0.718
0.332 0.151 0.282
0.668 0.869 0.151
0.332 0.131 0.849
0.703 0.388 0.938
0.297 0.938 0.550
0.703 0.550 0.612
0.297 0.450 0.388
0.297 0.612 0.062
0.668 0.282 0.131
0.332 0.718 0.869
0.703 0.062 0.450
0.838 0.093 0.716
0.162 0.907 0.284
0.162 0.378 0.093
0.838 0.622 0.907
0.500 0.000 0.000
0.838 0.284 0.378
0.162 0.716 0.622
0.731 0.667 0.333
0.269 0.333 0.667
```

Energy of formation from the pure elements in eV per atom: -0.15
DFT total energy in hartree per atom: -0.1109
Symmetry: P-3
Size of the total moment in Bohr magnetons per cell: 0.00

***

LiTl2In after structural relaxation. Source: Alexandria, functional GGA-PBE.

Geometry as POSCAR:
```
LiTl2In
1.0
10.064 -0.036 -0.021
9.479 3.380 -0.021
9.479 1.622 2.966
Tl In Li
2 1 1
Direct
0.248 0.248 0.248
0.008 0.008 0.008
0.492 0.492 0.492
0.751 0.751 0.751
```

Energy of formation from the pure elements in eV per atom: -0.06
DFT total energy in hartree per atom: -0.0886
Symmetry: R3m
Size of the total moment in Bohr magnetons per cell: 0.00

***

Cs2BaAlC after structural relaxation. Source: Alexandria, functional GGA-PBE.

Geometry as POSCAR:
```
Cs2BaAlC
1.0
-0.047 3.536 6.695
-2.647 -2.446 1.273
5.462 -4.621 2.479
C Cs Al Ba
1 2 1 1
Direct
0.000 0.000 0.000
0.500 0.000 0.000
0.000 0.000 0.500
0.000 0.500 0.000
0.500 0.500 0.500
```

Energy of formation from the pure elements in eV per atom: 0.78
DFT total energy in hartree per atom: -0.0933
Symmetry: P4/mmm
Size of the total moment in Bohr magnetons per cell: 0.00

***

InFe2Hg after structural relaxation. Source: Alexandria, functional GGA-PBE.

Geometry as POSCAR:
```
InFe2Hg
1.0
0.000 3.205 3.205
3.205 0.000 3.205
3.205 3.205 0.000
Hg In Fe
1 1 2
Direct
0.500 0.500 0.500
0.000 0.000 0.000
0.250 0.250 0.250
0.750 0.750 0.750
```

Energy of formation from the pure elements in eV per atom: 0.44
DFT total energy in hartree per atom: -0.1674
Symmetry: Fm-3m
Size of the total moment in Bohr magnetons per cell: 4.88